[1]
Below is an optimized crystal structure of Li2ZnB, with properties calculated at the PBE level.

Values from the calculation:
* energy above the lowest structure with this stoichiometry: 35 meV per atom
* energy of formation from the pure elements: 0.38 eV per atom
* uncorrected energy: -2.566 eV per atom
* calculated density: 3.37 g/cm3

Cell lengths 3.975, 3.975, 3.975 Å; angles 60.00, 60.00, 60.00 degrees
Positions (direct):
Li: 0.250 0.250 0.250
Li: 0.750 0.750 0.750
Zn: 0.000 0.000 0.000
B: 0.500 0.500 0.500



[2]
Below is an optimized crystal structure of Li2ZnB, with properties calculated at the PBE level.

Values from the calculation:
* energy above the lowest structure with this stoichiometry: 0 meV per atom
* energy of formation from the pure elements: 0.34 eV per atom
* uncorrected energy: -2.601 eV per atom
* calculated density: 2.04 g/cm3

Cell lengths 6.420, 6.420, 6.420 Å; angles 95.39, 95.39, 144.31 degrees
Positions (direct):
Li: 0.375 0.202 0.327
Li: 0.798 0.125 0.173
Li: 0.875 0.048 0.673
Li: 0.952 0.625 0.827
Zn: 0.250 0.750 0.500
Zn: 0.500 0.500 0.000
B: 0.000 0.000 0.000
B: 0.750 0.250 0.500



[3]
Below is an optimized crystal structure of LiZn2B, with properties calculated at the PBE level.

Values from the calculation:
* energy of formation from the pure elements: 0.44 eV per atom
* uncorrected energy: -2.349 eV per atom
* calculated density: 3.11 g/cm3

Cell lengths 7.259, 7.259, 7.259 Å; angles 139.72, 139.72, 58.28 degrees
Positions (direct):
Li: 0.000 0.000 0.000
Li: 0.750 0.250 0.500
Zn: 0.364 0.625 0.239
Zn: 0.375 0.614 0.739
Zn: 0.386 0.125 0.761
Zn: 0.875 0.636 0.261
B: 0.250 0.750 0.500
B: 0.500 0.500 0.000



[4]
Below is an optimized crystal structure of Li2ZrZnB, with properties calculated at the PBE level.

Values from the calculation:
* energy of formation from the pure elements: 0.34 eV per atom
* uncorrected energy: -3.729 eV per atom
* calculated density: 4.28 g/cm3

Cell lengths 4.206, 4.206, 3.981 Å; angles 90.00, 90.00, 90.00 degrees
Positions (direct):
Li: 0.000 0.500 0.000
Li: 0.500 0.000 0.000
Zr: 0.000 0.000 0.500
Zn: 0.500 0.500 0.500
B: 0.500 0.500 0.000



[5]
Below is an optimized crystal structure of LiZr2B, with properties calculated at the PBE level.

Values from the calculation:
* energy of formation from the pure elements: 0.28 eV per atom
* uncorrected energy: -6.144 eV per atom
* calculated density: 4.58 g/cm3

Cell lengths 5.784, 5.784, 5.784 Å; angles 104.57, 104.57, 119.79 degrees
Positions (direct):
Li: 0.000 0.000 0.000
Li: 0.750 0.250 0.500
Zr: 0.185 0.625 0.060
Zr: 0.375 0.435 0.560
Zr: 0.565 0.125 0.940
Zr: 0.875 0.815 0.440
B: 0.250 0.750 0.500
B: 0.500 0.500 0.000



[6]
Below is an optimized crystal structure of LiZrB, with properties calculated at the PBE level.

Values from the calculation:
* energy above the lowest structure with this stoichiometry: 257 meV per atom
* energy of formation from the pure elements: -0.14 eV per atom
* uncorrected energy: -5.848 eV per atom
* calculated density: 3.86 g/cm3

Cell lengths 4.732, 4.732, 6.861 Å; angles 98.69, 98.69, 38.21 degrees
Positions (direct):
Li: 0.000 0.000 0.000
Li: 0.732 0.732 0.128
Zr: 0.240 0.240 0.719
Zr: 0.466 0.466 0.425
B: 0.172 0.172 0.364
B: 0.745 0.745 0.437



[7]
Below is an optimized crystal structure of LiZrB, with properties calculated at the PBE level.

Values from the calculation:
* energy above the lowest structure with this stoichiometry: 327 meV per atom
* energy of formation from the pure elements: -0.07 eV per atom
* uncorrected energy: -5.779 eV per atom
* calculated density: 4.06 g/cm3

Cell lengths 3.083, 4.998, 6.095 Å; angles 78.73, 75.44, 89.99 degrees
Positions (direct):
Li: 0.000 0.000 0.000
Li: 0.283 0.914 0.429
Zr: 0.442 0.482 0.118
Zr: 0.691 0.374 0.617
B: 0.108 0.696 0.784
B: 0.620 0.826 0.759



[8]
Below is an optimized crystal structure of LiZrB3, with properties calculated at the PBE level.

Values from the calculation:
* energy above the lowest structure with this stoichiometry: 0 meV per atom
* energy of formation from the pure elements: 0.92 eV per atom
* uncorrected energy: -5.176 eV per atom
* calculated density: 4.24 g/cm3

Cell lengths 3.712, 3.712, 3.712 Å; angles 90.00, 90.00, 90.00 degrees
Positions (direct):
Li: 0.000 0.000 0.000
Zr: 0.500 0.500 0.500
B: 0.000 0.000 0.500
B: 0.000 0.500 0.000
B: 0.500 0.000 0.000



[9]
Below is an optimized crystal structure of LiZrB, with properties calculated at the PBE level.

Values from the calculation:
* energy above the lowest structure with this stoichiometry: 902 meV per atom
* energy of formation from the pure elements: 0.51 eV per atom
* uncorrected energy: -5.203 eV per atom
* calculated density: 3.88 g/cm3

Cell lengths 4.147, 4.147, 3.129 Å; angles 90.00, 90.00, 120.00 degrees
Positions (direct):
Li: 0.000 0.000 0.000
Zr: 0.667 0.333 0.500
B: 0.333 0.667 0.500



[10]
Below is an optimized crystal structure of LiZr2B2, with properties calculated at the PBE level.

Values from the calculation:
* energy of formation from the pure elements: -0.43 eV per atom
* uncorrected energy: -6.905 eV per atom
* calculated density: 5.13 g/cm3

Cell lengths 6.342, 6.342, 3.398 Å; angles 90.00, 90.00, 90.00 degrees
Positions (direct):
Li: 0.000 0.000 0.000
Li: 0.500 0.500 0.000
Zr: 0.186 0.314 0.500
Zr: 0.314 0.814 0.500
Zr: 0.686 0.186 0.500
Zr: 0.814 0.686 0.500
B: 0.096 0.596 0.000
B: 0.404 0.096 0.000
B: 0.596 0.904 0.000
B: 0.904 0.404 0.000